1) # Tl2PS4 (GGA-PBE, optimized geometry)
data_Tl2PS4
_chemical_formula_sum 'Tl4 P2 S8'
_cell_length_a 6.986
_cell_length_b 6.986
_cell_length_c 9.658
_cell_angle_alpha 107.65
_cell_angle_beta 107.65
_cell_angle_gamma 109.78
_space_group_name_H-M_alt 'P 1'
_space_group_IT_number 1
_space_group_name_Hall 'P 1'
loop_
_atom_site_label
_atom_site_type_symbol
_atom_site_fract_x
_atom_site_fract_y
_atom_site_fract_z
_atom_site_occupancy
P1 P 0.108 0.892 0.750 1
Tl1 Tl 0.772 0.228 0.750 1
S1 S 0.242 0.248 0.384 1
S2 S 0.752 0.758 0.116 1
S3 S 0.248 0.242 0.884 1
S4 S 0.758 0.752 0.616 1
Tl2 Tl 0.570 0.430 0.250 1
S5 S 0.757 0.179 0.406 1
Tl3 Tl 0.430 0.570 0.750 1
Tl4 Tl 0.228 0.772 0.250 1
S6 S 0.179 0.757 0.906 1
P2 P 0.892 0.108 0.250 1
S7 S 0.821 0.243 0.094 1
S8 S 0.243 0.821 0.594 1
# SG: C2/c



2) # Tl2PS4 (GGA-PBE, optimized geometry)
data_Tl2PS4
_chemical_formula_sum 'Tl2 P1 S4'
_cell_length_a 7.141
_cell_length_b 7.141
_cell_length_c 7.066
_cell_angle_alpha 120.71
_cell_angle_beta 120.58
_cell_angle_gamma 89.49
_space_group_name_H-M_alt 'P 1'
_space_group_IT_number 1
_space_group_name_Hall 'P 1'
loop_
_atom_site_label
_atom_site_type_symbol
_atom_site_fract_x
_atom_site_fract_y
_atom_site_fract_z
_atom_site_occupancy
S1 S 0.722 0.720 0.790 1
P1 P 0.000 0.001 0.001 1
S2 S 0.926 0.281 0.208 1
Tl1 Tl 0.750 0.248 0.497 1
Tl2 Tl 0.250 0.747 0.497 1
S3 S 0.070 0.068 0.790 1
S4 S 0.282 0.935 0.217 1
# SG: Cm



Energy ordering: 1) at the bottom, the next structure 22 meV/atom above.